# PBE-GGA YMg2TlTe, relaxed
data_YMg2TlTe
_cell_length_a 5.124
_cell_length_b 5.124
_cell_length_c 6.474
_cell_angle_alpha 90.00
_cell_angle_beta 90.00
_cell_angle_gamma 90.00
_space_group_name_H-M_alt 'P 4/m m m'
_space_group_IT_number 123
_space_group_name_Hall '-P 4 2'
loop_
_atom_site_label
_atom_site_type_symbol
_atom_site_fract_x
_atom_site_fract_y
_atom_site_fract_z
Y1 Y 0.000 0.000 0.000
Mg1 Mg 0.000 0.500 0.500
Tl1 Tl 0.500 0.500 0.500
Te1 Te 0.500 0.500 0.000
# - formation energy (no corrections) (eV/atom) = 0.259
# - total moment (μB per cell) = 0.00



# PBE-GGA Rb2ZrSbI6, relaxed
data_Rb2ZrSbI6
_cell_length_a 8.487
_cell_length_b 8.487
_cell_length_c 13.742
_cell_angle_alpha 90.00
_cell_angle_beta 90.00
_cell_angle_gamma 90.00
_space_group_name_H-M_alt 'I 4/m m m'
_space_group_IT_number 139
_space_group_name_Hall '-I 4 2'
loop_
_atom_site_label
_atom_site_type_symbol
_atom_site_fract_x
_atom_site_fract_y
_atom_site_fract_z
Rb1 Rb 0.000 0.500 0.250
Zr1 Zr 0.000 0.000 0.000
Sb1 Sb 0.000 0.000 0.500
I1 I 0.000 0.000 0.214
I2 I 0.242 0.242 0.000
# - formation energy (no corrections) (eV/atom) = -0.751
# - total moment (μB per cell) = 2.02



# PBE-GGA Mn2CoOs2, relaxed
data_Mn2CoOs2
_cell_length_a 7.131
_cell_length_b 7.131
_cell_length_c 2.632
_cell_angle_alpha 90.00
_cell_angle_beta 90.00
_cell_angle_gamma 90.00
_space_group_name_H-M_alt 'P 4/m b m'
_space_group_IT_number 127
_space_group_name_Hall '-P 4 2ab'
loop_
_atom_site_label
_atom_site_type_symbol
_atom_site_fract_x
_atom_site_fract_y
_atom_site_fract_z
Mn1 Mn 0.165 0.335 0.000
Co1 Co 0.000 0.000 0.500
Os1 Os 0.131 0.631 0.500
# - polymorph energy (0 for the lowest one) (eV per formula unit) = 0.34
# - energy relative to the elements (meV/atom) = 357.1
# - total moment (μB per cell) = 1.42



# PBE-GGA CeDy2Y, relaxed
data_CeDy2Y
_cell_length_a 5.009
_cell_length_b 5.009
_cell_length_c 4.998
_cell_angle_alpha 90.00
_cell_angle_beta 90.00
_cell_angle_gamma 90.00
_space_group_name_H-M_alt 'P 4/m m m'
_space_group_IT_number 123
_space_group_name_Hall '-P 4 2'
loop_
_atom_site_label
_atom_site_type_symbol
_atom_site_fract_x
_atom_site_fract_y
_atom_site_fract_z
Ce1 Ce 0.000 0.000 0.000
Dy1 Dy 0.000 0.500 0.500
Y1 Y 0.500 0.500 0.000
# - polymorph energy (0 for the lowest one) (eV per formula unit) = 0.17
# - energy relative to the elements (meV/atom) = 70.9
# - total moment (μB per cell) = 0.52



# PBE-GGA Tb6DyHo2Sc, relaxed
data_Tb6DyHo2Sc
_cell_length_a 9.045
_cell_length_b 14.863
_cell_length_c 9.394
_cell_angle_alpha 90.00
_cell_angle_beta 97.22
_cell_angle_gamma 90.00
_space_group_name_H-M_alt 'C 1 2/c 1'
_space_group_IT_number 15
loop_
_space_group_symop_operation_xyz
'x,y,z'
'-x,-y,-z'
'-x,y,-z+1/2'
'x,-y,z+1/2'
'x+1/2,y+1/2,z'
'-x+1/2,-y+1/2,-z'
'-x+1/2,y+1/2,-z+1/2'
'x+1/2,-y+1/2,z+1/2'
loop_
_atom_site_label
_atom_site_type_symbol
_atom_site_fract_x
_atom_site_fract_y
_atom_site_fract_z
Tb1 Tb 0.060 0.185 0.446
Tb2 Tb 0.100 0.392 0.616
Tb3 Tb 0.216 0.221 0.810
Dy1 Dy 0.000 0.023 0.750
Ho1 Ho 0.247 0.449 0.953
Sc1 Sc 0.000 0.414 0.250
# - energy relative to the elements (meV/atom) = 126.6
# - total moment (μB per cell) = 0.00



# PBE-GGA Tb4Dy2Ge3O2, relaxed
data_Tb4Dy2Ge3O2
_cell_length_a 4.564
_cell_length_b 4.564
_cell_length_c 23.683
_cell_angle_alpha 90.00
_cell_angle_beta 90.00
_cell_angle_gamma 90.00
_space_group_name_H-M_alt 'I 4/m m m'
_space_group_IT_number 139
_space_group_name_Hall '-I 4 2'
loop_
_atom_site_label
_atom_site_type_symbol
_atom_site_fract_x
_atom_site_fract_y
_atom_site_fract_z
Tb1 Tb 0.000 0.500 0.081
Dy1 Dy 0.000 0.000 0.198
Ge1 Ge 0.000 0.000 0.324
Ge2 Ge 0.000 0.000 0.500
O1 O 0.000 0.000 0.100
# - formation energy (no corrections) (eV/atom) = -1.557
# - total moment (μB per cell) = 0.00



# PBE-GGA SbPbAu, relaxed
data_SbPbAu
_cell_length_a 4.5888
_cell_length_b 4.5888
_cell_length_c 4.6680
_cell_angle_alpha 90.00
_cell_angle_beta 90.00
_cell_angle_gamma 120.00
_space_group_name_H-M_alt 'P 3 m 1'
_space_group_IT_number 156
loop_
_space_group_symop_operation_xyz
'x,y,z'
'-y,x-y,z'
'-x+y,-x,z'
'-y,-x,z'
'-x+y,y,z'
'x,x-y,z'
loop_
_atom_site_label
_atom_site_type_symbol
_atom_site_fract_x
_atom_site_fract_y
_atom_site_fract_z
Sb1 Sb 0.0000 0.0000 0.0000
Pb1 Pb 0.6667 0.3333 0.4926
Au1 Au 0.3333 0.6667 0.1487
# - formation energy (no corrections) (eV/atom) = -0.083
# - polymorph energy (0 for the lowest one) (eV per formula unit) = 0.01
# - total moment (μB per cell) = 0.00



# PBE-GGA HoAsH, relaxed
data_HoAsH
_cell_length_a 8.936
_cell_length_b 4.755
_cell_length_c 5.744
_cell_angle_alpha 90.00
_cell_angle_beta 91.57
_cell_angle_gamma 90.00
_space_group_name_H-M_alt 'C 1 2/m 1'
_space_group_IT_number 12
loop_
_space_group_symop_operation_xyz
'x,y,z'
'-x,-y,-z'
'-x,y,-z'
'x,-y,z'
'x+1/2,y+1/2,z'
'-x+1/2,-y+1/2,-z'
'-x+1/2,y+1/2,-z'
'x+1/2,-y+1/2,z'
loop_
_atom_site_label
_atom_site_type_symbol
_atom_site_fract_x
_atom_site_fract_y
_atom_site_fract_z
Ho1 Ho 0.158 0.000 0.250
As1 As 0.164 0.000 0.746
H1 H 0.035 0.500 0.964
# - polymorph energy (0 for the lowest one) (eV per formula unit) = 0.08
# - total moment (μB per cell) = 0.00



# PBE-GGA Eu2AsH, relaxed
data_Eu2AsH
_cell_length_a 7.142
_cell_length_b 7.142
_cell_length_c 7.142
_cell_angle_alpha 90.00
_cell_angle_beta 90.00
_cell_angle_gamma 90.00
_space_group_name_H-M_alt 'F m -3 m'
_space_group_IT_number 225
_space_group_name_Hall '-F 4 2 3'
loop_
_atom_site_label
_atom_site_type_symbol
_atom_site_fract_x
_atom_site_fract_y
_atom_site_fract_z
Eu1 Eu 0.250 0.250 0.250
As1 As 0.000 0.000 0.000
H1 H 0.000 0.000 0.500
# - polymorph energy (0 for the lowest one) (eV per formula unit) = 0.25
# - total moment (μB per cell) = 56.00



# PBE-GGA Li2ScGa9, relaxed
data_Li2ScGa9
_cell_length_a 4.046
_cell_length_b 4.046
_cell_length_c 12.450
_cell_angle_alpha 90.00
_cell_angle_beta 90.00
_cell_angle_gamma 90.00
_space_group_name_H-M_alt 'P 4/m m m'
_space_group_IT_number 123
_space_group_name_Hall '-P 4 2'
loop_
_atom_site_label
_atom_site_type_symbol
_atom_site_fract_x
_atom_site_fract_y
_atom_site_fract_z
Li1 Li 0.000 0.000 0.168
Sc1 Sc 0.000 0.000 0.500
Ga1 Ga 0.000 0.500 0.000
Ga2 Ga 0.000 0.500 0.327
Ga3 Ga 0.500 0.500 0.168
Ga4 Ga 0.500 0.500 0.500
# - energy relative to the elements (meV/atom) = -272.4
# - total moment (μB per cell) = 0.00



# PBE-GGA LaAu2SeN, relaxed
data_LaAu2SeN
_cell_length_a 5.933
_cell_length_b 5.933
_cell_length_c 5.715
_cell_angle_alpha 90.00
_cell_angle_beta 90.00
_cell_angle_gamma 90.00
_space_group_name_H-M_alt 'P 4/m m m'
_space_group_IT_number 123
_space_group_name_Hall '-P 4 2'
loop_
_atom_site_label
_atom_site_type_symbol
_atom_site_fract_x
_atom_site_fract_y
_atom_site_fract_z
La1 La 0.000 0.000 0.000
Au1 Au 0.000 0.500 0.000
Se1 Se 0.000 0.000 0.500
N1 N 0.500 0.500 0.500
# - formation energy (no corrections) (eV/atom) = 1.062
# - total moment (μB per cell) = 2.97



# PBE-GGA In3GeP, relaxed
data_In3GeP
_cell_length_a 5.242
_cell_length_b 5.242
_cell_length_c 5.242
_cell_angle_alpha 90.00
_cell_angle_beta 90.00
_cell_angle_gamma 90.00
_space_group_name_H-M_alt 'P m -3 m'
_space_group_IT_number 221
_space_group_name_Hall '-P 4 2 3'
loop_
_atom_site_label
_atom_site_type_symbol
_atom_site_fract_x
_atom_site_fract_y
_atom_site_fract_z
In1 In 0.000 0.000 0.500
Ge1 Ge 0.000 0.000 0.000
P1 P 0.500 0.500 0.500
# - polymorph energy (0 for the lowest one) (eV per formula unit) = 0.68
# - energy relative to the elements (meV/atom) = 601.4
# - total moment (μB per cell) = 0.00



# PBE-GGA LaHoCuNi, relaxed
data_LaHoCuNi
_cell_length_a 4.413
_cell_length_b 3.781
_cell_length_c 10.711
_cell_angle_alpha 90.00
_cell_angle_beta 90.00
_cell_angle_gamma 90.00
_space_group_name_H-M_alt 'A m m 2'
_space_group_IT_number 38
loop_
_space_group_symop_operation_xyz
'x,y,z'
'-x,-y,z'
'-x,y,z'
'x,-y,z'
'x,y+1/2,z+1/2'
'-x,-y+1/2,z+1/2'
'-x,y+1/2,z+1/2'
'x,-y+1/2,z+1/2'
loop_
_atom_site_label
_atom_site_type_symbol
_atom_site_fract_x
_atom_site_fract_y
_atom_site_fract_z
La1 La 0.000 0.000 0.000
Ho1 Ho 0.500 0.000 0.727
Cu1 Cu 0.000 0.000 0.286
Ni1 Ni 0.500 0.000 0.424
# - polymorph energy (0 for the lowest one) (eV per formula unit) = 0.00
# - energy relative to the elements (meV/atom) = -297.2
# - total moment (μB per cell) = 0.00



# PBE-GGA BaPrInS4, relaxed
data_BaPrInS4
_cell_length_a 6.965
_cell_length_b 6.967
_cell_length_c 8.600
_cell_angle_alpha 90.00
_cell_angle_beta 107.22
_cell_angle_gamma 90.00
_space_group_name_H-M_alt 'P 1 21/m 1'
_space_group_IT_number 11
loop_
_space_group_symop_operation_xyz
'x,y,z'
'-x,-y,-z'
'-x,y+1/2,-z'
'x,-y+1/2,z'
loop_
_atom_site_label
_atom_site_type_symbol
_atom_site_fract_x
_atom_site_fract_y
_atom_site_fract_z
Ba1 Ba 0.249 0.250 0.058
Pr1 Pr 0.215 0.250 0.553
In1 In 0.245 0.750 0.324
S1 S 0.009 0.511 0.724
S2 S 0.450 0.750 0.140
S3 S 0.472 0.750 0.600
# - formation energy (no corrections) (eV/atom) = -1.501
# - total moment (μB per cell) = 0.00



# PBE-GGA CaSc3F, relaxed
data_CaSc3F
_cell_length_a 5.425
_cell_length_b 5.425
_cell_length_c 5.425
_cell_angle_alpha 90.00
_cell_angle_beta 90.00
_cell_angle_gamma 90.00
_space_group_name_H-M_alt 'P m -3 m'
_space_group_IT_number 221
_space_group_name_Hall '-P 4 2 3'
loop_
_atom_site_label
_atom_site_type_symbol
_atom_site_fract_x
_atom_site_fract_y
_atom_site_fract_z
Ca1 Ca 0.000 0.000 0.000
Sc1 Sc 0.000 0.000 0.500
F1 F 0.500 0.500 0.500
# - formation energy (no corrections) (eV/atom) = 1.028
# - polymorph energy (0 for the lowest one) (eV per formula unit) = 8.55
# - total moment (μB per cell) = 0.00



# PBE-GGA EuThIn2, relaxed
data_EuThIn2
_cell_length_a 7.788
_cell_length_b 7.788
_cell_length_c 7.788
_cell_angle_alpha 90.00
_cell_angle_beta 90.00
_cell_angle_gamma 90.00
_space_group_name_H-M_alt 'F m -3 m'
_space_group_IT_number 225
_space_group_name_Hall '-F 4 2 3'
loop_
_atom_site_label
_atom_site_type_symbol
_atom_site_fract_x
_atom_site_fract_y
_atom_site_fract_z
Eu1 Eu 0.000 0.000 0.000
Th1 Th 0.000 0.000 0.500
In1 In 0.250 0.250 0.250
# - polymorph energy (0 for the lowest one) (eV per formula unit) = 0.28
# - energy relative to the elements (meV/atom) = -298.6
# - total moment (μB per cell) = 28.82



# PBE-GGA Ba2Mg4Sn3Ge, relaxed
data_Ba2Mg4Sn3Ge
_cell_length_a 4.849
_cell_length_b 4.849
_cell_length_c 12.189
_cell_angle_alpha 90.00
_cell_angle_beta 90.00
_cell_angle_gamma 90.00
_space_group_name_H-M_alt 'P -4 m 2'
_space_group_IT_number 115
loop_
_space_group_symop_operation_xyz
'x,y,z'
'y,-x,-z'
'-x,-y,z'
'-y,x,-z'
'-x,y,z'
'-y,-x,-z'
'x,-y,z'
'y,x,-z'
loop_
_atom_site_label
_atom_site_type_symbol
_atom_site_fract_x
_atom_site_fract_y
_atom_site_fract_z
Ba1 Ba 0.000 0.500 0.244
Mg1 Mg 0.000 0.000 0.500
Mg2 Mg 0.000 0.500 0.872
Mg3 Mg 0.500 0.500 0.500
Sn1 Sn 0.000 0.000 0.000
Sn2 Sn 0.000 0.500 0.638
Ge1 Ge 0.500 0.500 0.000
# - energy relative to the elements (meV/atom) = -464.8
# - total moment (μB per cell) = 0.00



# PBE-GGA Dy2BrO, relaxed
data_Dy2BrO
_cell_length_a 3.5880
_cell_length_b 3.5880
_cell_length_c 21.5217
_cell_angle_alpha 90.00
_cell_angle_beta 90.00
_cell_angle_gamma 120.00
_space_group_name_H-M_alt 'R -3 m'
_space_group_IT_number 166
_space_group_name_Hall '-R 3 2"'
loop_
_atom_site_label
_atom_site_type_symbol
_atom_site_fract_x
_atom_site_fract_y
_atom_site_fract_z
Dy1 Dy 0.0000 0.0000 0.2251
Br1 Br 0.0000 0.0000 0.0000
O1 O 0.0000 0.0000 0.5000
# - formation energy (no corrections) (eV/atom) = -1.778
# - total moment (μB per cell) = 0.01



# PBE-GGA HRhI2, relaxed
data_HRhI2
_cell_length_a 6.872
_cell_length_b 6.872
_cell_length_c 6.872
_cell_angle_alpha 90.00
_cell_angle_beta 90.00
_cell_angle_gamma 90.00
_space_group_name_H-M_alt 'F m -3 m'
_space_group_IT_number 225
_space_group_name_Hall '-F 4 2 3'
loop_
_atom_site_label
_atom_site_type_symbol
_atom_site_fract_x
_atom_site_fract_y
_atom_site_fract_z
H1 H 0.000 0.000 0.000
Rh1 Rh 0.000 0.000 0.500
I1 I 0.250 0.250 0.250
# - polymorph energy (0 for the lowest one) (eV per formula unit) = 1.79
# - total moment (μB per cell) = 7.79



# PBE-GGA La4Nd3In, relaxed
data_La4Nd3In
_cell_length_a 11.707
_cell_length_b 7.314
_cell_length_c 6.337
_cell_angle_alpha 90.00
_cell_angle_beta 90.00
_cell_angle_gamma 90.00
_space_group_name_H-M_alt 'P m n 21'
_space_group_IT_number 31
loop_
_space_group_symop_operation_xyz
'x,y,z'
'-x+1/2,-y,z+1/2'
'-x,y,z'
'x+1/2,-y,z+1/2'
loop_
_atom_site_label
_atom_site_type_symbol
_atom_site_fract_x
_atom_site_fract_y
_atom_site_fract_z
La1 La 0.000 0.116 0.000
La2 La 0.000 0.869 0.562
La3 La 0.226 0.863 0.194
Nd1 Nd 0.000 0.376 0.533
Nd2 Nd 0.244 0.384 0.207
In1 In 0.000 0.604 0.028
# - polymorph energy (0 for the lowest one) (eV per formula unit) = 0.00
# - energy relative to the elements (meV/atom) = -115.3
# - total moment (μB per cell) = 0.00